DFT (PBE) results for a geometry-optimized BiI2NO structure.

Values from the calculation:
ΔE_f (raw) in meV per atom: 1244
Energy above the most stable polymorph in this dataset in meV/atom: 422
Crystal system: tetragonal
Calculated volume in Å³ per cell: 120.3
E in eV per atom: -2.809

Cell: 5.6759 5.6759 3.7331 Å, 90.00 90.00 90.00°
Fractional positions:
1 I 0.0000 0.5000 0.0000
2 I 0.5000 0.0000 0.0000
3 Bi 0.5000 0.5000 0.5000
4 O 0.0000 0.0000 0.0000
5 N 0.0000 0.0000 0.5000


DFT (PBE) results for a geometry-optimized Zn2HgTeO6 structure.

Values from the calculation:
ΔE_f (raw) in meV per atom: -1010
Crystal system: monoclinic
Calculated volume in Å³ per cell: 299.2
E in eV per atom: -4.584

Cell: 6.6588 6.7954 6.7954 Å, 84.88 80.92 80.92°
Fractional positions:
1 Zn 0.3915 0.7490 0.6081
2 Zn 0.1085 0.3919 0.2510
3 Zn 0.6085 0.2510 0.3919
4 Zn 0.8915 0.6081 0.7490
5 Hg 0.2500 0.9036 0.0964
6 Hg 0.7500 0.0964 0.9036
7 Te 0.2500 0.2682 0.7318
8 Te 0.7500 0.7318 0.2682
9 O 0.2509 0.9773 0.7584
10 O 0.2491 0.2416 0.0227
11 O 0.7491 0.0227 0.2416
12 O 0.7509 0.7584 0.9773
13 O 0.4521 0.7414 0.3106
14 O 0.0479 0.6894 0.2586
15 O 0.5479 0.2586 0.6894
16 O 0.9521 0.3106 0.7414
17 O 0.2044 0.5630 0.7325
18 O 0.2956 0.2675 0.4370
19 O 0.7956 0.4370 0.2675
20 O 0.7044 0.7325 0.5630


| no. | M_tot (μB/cell) |
| --- | --- |
| 1 | 2.6 |
| 2 | 0.0 |